The following is a DFT calculation (PBE-GGA) of a relaxed structure of Tb4CdIrRh2.

Summary:
* formation energy: -0.69 eV per atom
* symmetry: R-3m
* V: 21.8 A^3/atom
* magnetization: 0.00 μB per atom

Cell: 4.964 4.964 8.655 Å, 73.33 73.33 60.00°
Fractional coordinates of all 8 atoms:
Tb (0.382, 0.382, 0.854)
Tb (0.870, 0.870, 0.390)
Tb (0.130, 0.130, 0.610)
Tb (0.618, 0.618, 0.146)
Cd (0.000, 0.000, 0.000)
Ir (0.500, 0.500, 0.500)
Rh (0.748, 0.748, 0.755)
Rh (0.252, 0.252, 0.245)

---

The following is a DFT calculation (PBE-GGA) of a relaxed structure of RbPrAgI5.

Summary:
* uncorrected formation energy: -1133 meV per atom
* symmetry: C2/c
* V: 48.6 A^3/atom
* magnetization: 0.00 μB per atom

Cell: 8.648 8.648 11.763 Å, 102.98 102.98 107.20°
Fractional coordinates of all 16 atoms:
Rb (0.360, 0.640, 0.250)
Rb (0.640, 0.360, 0.750)
Pr (0.000, 0.000, 0.500)
Pr (0.000, 0.000, 0.000)
Ag (0.689, 0.311, 0.250)
Ag (0.311, 0.689, 0.750)
I (0.086, 0.914, 0.250)
I (0.914, 0.086, 0.750)
I (0.919, 0.323, 0.110)
I (0.081, 0.677, 0.890)
I (0.677, 0.081, 0.390)
I (0.323, 0.919, 0.610)
I (0.757, 0.620, 0.443)
I (0.243, 0.380, 0.557)
I (0.380, 0.243, 0.057)
I (0.620, 0.757, 0.943)

---

The following is a DFT calculation (PBE-GGA) of a relaxed structure of K2CuBr.

Summary:
* uncorrected formation energy: -591 meV per atom
* symmetry: P4mm
* relative energy among the computed polymorphs: 0.011 eV per atom
* V: 38.3 A^3/atom
* magnetization: 0.05 μB per atom

Cell: 4.760 4.761 6.764 Å, 90.00 90.00 90.00°
Fractional coordinates of all 4 atoms:
Br (0.000, 0.000, 0.375)
Cu (0.500, 0.500, 0.874)
K (0.000, 0.000, 0.876)
K (0.500, 0.500, 0.375)

---

The following is a DFT calculation (PBE-GGA) of a relaxed structure of InAs2RuSe.

Summary:
* uncorrected formation energy: 266 meV per atom
* symmetry: P4/mmm
* relative energy among the computed polymorphs: 0.000 eV per atom
* V: 24.0 A^3/atom
* magnetization: 0.00 μB per atom

Cell: 4.672 4.672 5.509 Å, 90.00 90.00 90.00°
Fractional coordinates of all 5 atoms:
Ru (0.000, 0.000, 0.000)
As (0.000, 0.500, 0.000)
As (0.500, 0.000, 0.000)
Se (0.000, 0.000, 0.500)
In (0.500, 0.500, 0.500)